Entry 1:
# TbMg7Sc3 PBE-GGA relaxed
# **Magnetization**: 0.00 μB per formula unit
# **Final energy**: -2.93 eV/atom
# **ΔH_f (0 K)**: 0.23 eV per atom
data_TbMg7Sc3
_chemical_formula_sum 'Tb1 Mg7 Sc3'
_symmetry_space_group_name_H-M 'P 1'
_symmetry_Int_Tables_number 1
_cell_length_a 5.9181
_cell_length_b 8.2487
_cell_length_c 8.2487
_cell_angle_alpha 73.47
_cell_angle_beta 122.33
_cell_angle_gamma 122.33
loop_
_symmetry_equiv_pos_as_xyz
'x,y,z'
loop_
_atom_site_label
_atom_site_fract_x
_atom_site_fract_y
_atom_site_fract_z
Mg1 0.5811 0.7717 0.7717
Mg2 0.3016 0.5716 0.0342
Mg3 0.6984 0.9658 0.4284
Mg4 0.6984 0.4284 0.9658
Mg5 0.0000 0.5000 0.5000
Mg6 0.4189 0.2283 0.2283
Mg7 0.3016 0.0342 0.5716
Sc1 0.0000 0.8056 0.1944
Sc2 0.5000 0.0000 0.0000
Sc3 0.0000 0.1944 0.8056
Tb1 0.5000 0.5000 0.5000

Entry 2:
# TbMg2Sc PBE-GGA relaxed
# **Magnetization**: 0.00 μB per formula unit
# **Final energy**: -3.59 eV/atom
# **ΔH_f (0 K)**: -0.05 eV per atom
data_TbMg2Sc
_chemical_formula_sum 'Tb1 Mg2 Sc1'
_symmetry_space_group_name_H-M 'P 1'
_symmetry_Int_Tables_number 1
_cell_length_a 3.6845
_cell_length_b 3.6845
_cell_length_c 7.4790
_cell_angle_alpha 90.00
_cell_angle_beta 90.00
_cell_angle_gamma 90.00
loop_
_symmetry_equiv_pos_as_xyz
'x,y,z'
loop_
_atom_site_label
_atom_site_fract_x
_atom_site_fract_y
_atom_site_fract_z
Mg1 0.0000 0.0000 0.7696
Mg2 0.0000 0.0000 0.2304
Tb1 0.5000 0.5000 0.5000
Sc1 0.5000 0.5000 0.0000

Entry 3:
# Tb5Mg6Sc PBE-GGA relaxed
# **Magnetization**: 0.00 μB per formula unit
# **Final energy**: -3.33 eV/atom
# **ΔH_f (0 K)**: -0.07 eV per atom
data_Tb5Mg6Sc
_chemical_formula_sum 'Tb5 Mg6 Sc1'
_symmetry_space_group_name_H-M 'P 1'
_symmetry_Int_Tables_number 1
_cell_length_a 5.3241
_cell_length_b 7.5320
_cell_length_c 8.4304
_cell_angle_alpha 90.00
_cell_angle_beta 71.59
_cell_angle_gamma 90.00
loop_
_symmetry_equiv_pos_as_xyz
'x,y,z'
loop_
_atom_site_label
_atom_site_fract_x
_atom_site_fract_y
_atom_site_fract_z
Tb1 0.3306 0.5000 0.3387
Tb2 0.3338 0.0000 0.3325
Tb3 0.0000 0.5000 0.0000
Tb4 0.6694 0.5000 0.6613
Tb5 0.6662 0.0000 0.6675
Mg1 0.5000 0.7579 0.0000
Mg2 0.5000 0.2421 0.0000
Mg3 0.8375 0.2438 0.3250
Mg4 0.8375 0.7562 0.3250
Mg5 0.1625 0.2438 0.6750
Mg6 0.1625 0.7562 0.6750
Sc1 0.0000 0.0000 0.0000

Entry 4:
# Tb14MgSc PBE-GGA relaxed
# **Magnetization**: 0.00 μB per formula unit
# **Final energy**: -4.49 eV/atom
# **ΔH_f (0 K)**: 0.06 eV per atom
data_Tb14MgSc
_chemical_formula_sum 'Tb14 Mg1 Sc1'
_symmetry_space_group_name_H-M 'P 1'
_symmetry_Int_Tables_number 1
_cell_length_a 6.8221
_cell_length_b 6.8221
_cell_length_c 11.0145
_cell_angle_alpha 90.00
_cell_angle_beta 90.00
_cell_angle_gamma 104.66
loop_
_symmetry_equiv_pos_as_xyz
'x,y,z'
loop_
_atom_site_label
_atom_site_fract_x
_atom_site_fract_y
_atom_site_fract_z
Tb1 0.6083 0.3917 0.7542
Tb2 0.8921 0.6906 0.5000
Tb3 0.8181 0.1819 0.5000
Tb4 0.3376 0.1016 0.0000
Tb5 0.1006 0.3191 0.2405
Tb6 0.6809 0.8994 0.2405
Tb7 0.1006 0.3191 0.7595
Tb8 0.6809 0.8994 0.7595
Tb9 0.6083 0.3917 0.2458
Tb10 0.1769 0.8231 0.7481
Tb11 0.3094 0.1079 0.5000
Tb12 0.8984 0.6624 0.0000
Tb13 0.1769 0.8231 0.2519
Tb14 0.3841 0.6159 0.5000
Mg1 0.8448 0.1552 0.0000
Sc1 0.3822 0.6178 0.0000

Entry 5:
# TbMgSc4 PBE-GGA relaxed
# **Magnetization**: 0.26 μB per formula unit
# **Final energy**: -5.20 eV/atom
# **ΔE to the lowest computed polymorph**: 45 meV/atom
# **ΔH_f (0 K)**: 0.06 eV per atom
data_TbMgSc4
_chemical_formula_sum 'Tb2 Mg2 Sc8'
_symmetry_space_group_name_H-M 'P 1'
_symmetry_Int_Tables_number 1
_cell_length_a 5.7120
_cell_length_b 5.7120
_cell_length_c 11.1446
_cell_angle_alpha 75.84
_cell_angle_beta 75.84
_cell_angle_gamma 60.69
loop_
_symmetry_equiv_pos_as_xyz
'x,y,z'
loop_
_atom_site_label
_atom_site_fract_x
_atom_site_fract_y
_atom_site_fract_z
Sc1 0.1688 0.6627 0.5033
Sc2 0.7468 0.5814 0.7493
Sc3 0.5814 0.7468 0.2493
Sc4 0.3373 0.8312 0.9967
Sc5 0.6627 0.1688 0.0033
Sc6 0.8312 0.3373 0.4967
Sc7 0.4186 0.2532 0.7507
Sc8 0.2532 0.4186 0.2507
Mg1 0.0740 0.9260 0.7500
Mg2 0.9260 0.0740 0.2500
Tb1 0.0000 0.5000 0.0000
Tb2 0.5000 0.0000 0.5000

Entry 6:
# TbMg6Sc2 PBE-GGA relaxed
# **Magnetization**: 0.00 μB per formula unit
# **Final energy**: -2.91 eV/atom
# **ΔE to the lowest computed polymorph**: 110 meV/atom
# **ΔH_f (0 K)**: 0.08 eV per atom
data_TbMg6Sc2
_chemical_formula_sum 'Tb1 Mg6 Sc2'
_symmetry_space_group_name_H-M 'P 1'
_symmetry_Int_Tables_number 1
_cell_length_a 3.0910
_cell_length_b 9.0602
_cell_length_c 9.0602
_cell_angle_alpha 120.00
_cell_angle_beta 90.00
_cell_angle_gamma 90.00
loop_
_symmetry_equiv_pos_as_xyz
'x,y,z'
loop_
_atom_site_label
_atom_site_fract_x
_atom_site_fract_y
_atom_site_fract_z
Mg1 0.5000 0.6362 0.6362
Mg2 0.0000 0.0000 0.6791
Mg3 0.0000 0.3209 0.3209
Mg4 0.5000 0.0000 0.3638
Mg5 0.5000 0.3638 0.0000
Mg6 0.0000 0.6791 0.0000
Tb1 0.5000 0.0000 0.0000
Sc1 0.0000 0.6667 0.3333
Sc2 0.0000 0.3333 0.6667

Entry 7:
# Tb6MgSc2 PBE-GGA relaxed
# **Magnetization**: 0.00 μB per formula unit
# **Final energy**: -4.49 eV/atom
# **ΔE to the lowest computed polymorph**: 142 meV/atom
# **ΔH_f (0 K)**: 0.18 eV per atom
data_Tb6MgSc2
_chemical_formula_sum 'Tb6 Mg1 Sc2'
_symmetry_space_group_name_H-M 'P 1'
_symmetry_Int_Tables_number 1
_cell_length_a 3.3447
_cell_length_b 9.7401
_cell_length_c 9.8754
_cell_angle_alpha 59.51
_cell_angle_beta 80.25
_cell_angle_gamma 80.11
loop_
_symmetry_equiv_pos_as_xyz
'x,y,z'
loop_
_atom_site_label
_atom_site_fract_x
_atom_site_fract_y
_atom_site_fract_z
Sc1 0.1679 0.8348 0.8294
Sc2 0.8321 0.1652 0.1706
Tb1 0.1815 0.4686 0.1683
Tb2 0.8185 0.5314 0.8317
Tb3 0.9989 0.8340 0.1682
Tb4 0.3378 0.8415 0.4829
Tb5 0.0011 0.1660 0.8318
Tb6 0.6622 0.1585 0.5171
Mg1 0.0000 0.5000 0.5000

Entry 8:
# Tb5Mg4Sc PBE-GGA relaxed
# **Magnetization**: 0.01 μB per formula unit
# **Final energy**: -3.64 eV/atom
# **ΔH_f (0 K)**: -0.05 eV per atom
data_Tb5Mg4Sc
_chemical_formula_sum 'Tb5 Mg4 Sc1'
_symmetry_space_group_name_H-M 'P 1'
_symmetry_Int_Tables_number 1
_cell_length_a 3.7406
_cell_length_b 3.7406
_cell_length_c 19.7416
_cell_angle_alpha 90.00
_cell_angle_beta 90.00
_cell_angle_gamma 90.00
loop_
_symmetry_equiv_pos_as_xyz
'x,y,z'
loop_
_atom_site_label
_atom_site_fract_x
_atom_site_fract_y
_atom_site_fract_z
Sc1 0.0000 0.0000 0.0000
Tb1 0.5000 0.5000 0.8953
Tb2 0.5000 0.5000 0.3048
Tb3 0.5000 0.5000 0.5000
Tb4 0.5000 0.5000 0.6952
Tb5 0.5000 0.5000 0.1047
Mg1 0.0000 0.0000 0.7952
Mg2 0.0000 0.0000 0.2048
Mg3 0.0000 0.0000 0.5980
Mg4 0.0000 0.0000 0.4020